# 1
Ac2NiGe2H4: relaxed, PBE-GGA.

Cell: 5.834 5.834 5.834 Å, 116.61 116.61 95.98°
Positions (direct):
Ac 0.250 0.750 0.500
Ac 0.750 0.250 0.500
Ni 0.000 0.000 0.000
Ge 0.341 0.341 0.000
Ge 0.659 0.659 0.000
H 0.181 0.181 0.362
H 0.181 0.819 0.000
H 0.819 0.181 0.000
H 0.819 0.819 0.638

- Fermi-level density of states: 0.48 states/eV per atom
- Symmetry: I4/mmm (139)
- E: -4.297 eV per atom
- Magnetic moment: 0.000 μB/f.u.



# 2
AcNi2GeH2: relaxed, PBE-GGA.

Cell: 5.923 5.078 6.427 Å, 90.00 107.19 90.00°
Positions (direct):
Ac 0.188 0.250 0.317
Ac 0.812 0.750 0.683
Ni 0.326 0.002 0.791
Ni 0.326 0.498 0.791
Ni 0.674 0.502 0.209
Ni 0.674 0.998 0.209
Ge 0.325 0.750 0.096
Ge 0.675 0.250 0.904
H 0.135 0.250 0.717
H 0.274 0.750 0.616
H 0.726 0.250 0.384
H 0.865 0.750 0.283

- Fermi-level density of states: 0.47 states/eV per atom
- Symmetry: P2_1/m (11)
- E: -4.871 eV per atom
- Magnetic moment: 0.000 μB/f.u.



What did the first record say?
Ac2NiGe2H4: relaxed, PBE-GGA.

Cell: 5.834 5.834 5.834 Å, 116.61 116.61 95.98°
Positions (direct):
Ac 0.250 0.750 0.500
Ac 0.750 0.250 0.500
Ni 0.000 0.000 0.000
Ge 0.341 0.341 0.000
Ge 0.659 0.659 0.000
H 0.181 0.181 0.362
H 0.181 0.819 0.000
H 0.819 0.181 0.000
H 0.819 0.819 0.638

- Fermi-level density of states: 0.48 states/eV per atom
- Symmetry: I4/mmm (139)
- E: -4.297 eV per atom
- Magnetic moment: 0.000 μB/f.u.



Among the records above, which one has the lowest Fermi-level density of states?
AcNi2GeH2



The highest Fermi-level density of states belongs to which entry?
Ac2NiGe2H4



What is the E in the second record?
-4.871 eV per atom